## Nd2PN (PBE)

Data for a relaxed structure of Nd2PN.

a b c (Å): 3.878 3.878 6.861
angles (deg): 73.58 73.58 60.00
Element x y z (fractional)
Nd 0.260 0.260 0.221
Nd 0.740 0.740 0.779
N 0.000 0.000 0.000
P 0.500 0.500 0.500

Results
For the raw formation energy, the calculation gives -127.8 kJ/mol of atoms. The calculation puts the total magnetic moment at 0.00 μB per cell.

## Y6AgRh (PBE)

Data for a relaxed structure of Y6AgRh.

a b c (Å): 6.764 6.767 7.488
angles (deg): 63.16 63.17 60.00
Element x y z (fractional)
Ag 0.500 0.500 0.500
Y 0.579 0.233 0.245
Y 0.233 0.944 0.245
Y 0.943 0.579 0.245
Y 0.767 0.056 0.755
Y 0.421 0.767 0.755
Y 0.057 0.421 0.755
Rh 0.000 0.000 0.000

Results
The value obtained for the formation energy is -130 meV/atom. The calculation puts the total magnetic moment at 0.00 μB per cell.

## DyCdHg3 (PBE)

Data for a relaxed structure of DyCdHg3.

a b c (Å): 5.070 5.100 9.523
angles (deg): 90.00 74.30 90.00
Element x y z (fractional)
Hg 0.455 0.844 0.810
Hg 0.956 0.344 0.804
Hg 0.252 0.844 0.213
Hg 0.652 0.844 0.412
Hg 0.759 0.344 0.203
Hg 0.159 0.344 0.402
Dy 0.357 0.344 0.005
Dy 0.054 0.844 0.610
Cd 0.858 0.844 0.003
Cd 0.553 0.344 0.611

Results
The value obtained for the formation energy is -274 meV/atom. The calculation puts the total magnetic moment at 0.00 μB per cell.

## LaRuS2Cl (PBE)

Data for a relaxed structure of LaRuS2Cl.

a b c (Å): 5.518 5.518 5.419
angles (deg): 90.00 90.00 90.00
Element x y z (fractional)
S 0.500 0.000 0.000
S 0.000 0.500 0.000
Cl 0.000 0.000 0.500
Ru 0.500 0.500 0.500
La 0.000 0.000 0.000

Results
For the raw formation energy, the calculation gives 7.9 kJ/mol of atoms. The calculation puts the total magnetic moment at 3.57 μB per cell.

## Na2Li2IO6 (PBE)

Data for a relaxed structure of Na2Li2IO6.

a b c (Å): 5.795 5.795 5.257
angles (deg): 98.46 98.46 118.51
Element x y z (fractional)
O 0.682 0.959 0.282
O 0.799 0.799 0.722
O 0.041 0.318 0.718
O 0.318 0.041 0.718
O 0.201 0.201 0.278
O 0.959 0.682 0.282
Li 0.129 0.871 0.000
Li 0.871 0.129 0.000
Na 0.344 0.656 0.500
Na 0.656 0.344 0.500
I 0.000 0.000 0.500

Results
For the raw formation energy, the calculation gives -113.5 kJ/mol of atoms. The calculation puts the total magnetic moment at 1.05 μB per cell.

## K2In4Ga3Ag (PBE)

Data for a relaxed structure of K2In4Ga3Ag.

a b c (Å): 4.815 4.815 11.742
angles (deg): 90.00 90.00 90.00
Element x y z (fractional)
Ga 0.000 0.000 0.500
Ga 0.500 0.000 0.864
Ga 0.000 0.500 0.136
In 0.000 0.500 0.371
In 0.000 0.000 0.000
In 0.500 0.000 0.629
In 0.500 0.500 0.000
K 0.500 0.000 0.254
K 0.000 0.500 0.746
Ag 0.500 0.500 0.500

Results
The value obtained for the formation energy is -97 meV/atom. The calculation puts the total magnetic moment at 0.00 μB per cell.

## PmErMgZr (PBE)

Data for a relaxed structure of PmErMgZr.

a b c (Å): 5.375 5.375 5.375
angles (deg): 60.00 60.00 60.00
Element x y z (fractional)
Pm 0.250 0.250 0.250
Er 0.750 0.750 0.750
Mg 0.000 0.000 0.000
Zr 0.500 0.500 0.500

Results
The value obtained for the formation energy is 133 meV/atom. The calculation puts the total magnetic moment at 1.89 μB per cell.

## EuTh2Al (PBE)

Data for a relaxed structure of EuTh2Al.

a b c (Å): 4.016 4.016 7.375
angles (deg): 90.00 90.00 90.00
Element x y z (fractional)
Al 0.500 0.500 0.000
Th 0.000 0.000 0.790
Th 0.000 0.000 0.210
Eu 0.500 0.500 0.500

Results
The value obtained for the formation energy is 39 meV/atom. The calculation puts the total magnetic moment at 7.13 μB per cell.

## MnFe2Ni (PBE)

Data for a relaxed structure of MnFe2Ni.

a b c (Å): 2.485 2.485 8.213
angles (deg): 81.30 81.30 60.00
Element x y z (fractional)
Ni 0.666 0.666 0.002
Fe 0.248 0.248 0.255
Fe 0.085 0.085 0.746
Mn 0.501 0.501 0.498

Results
The value obtained for the formation energy is 59 meV/atom. The calculation puts the total magnetic moment at 2.19 μB per cell.

## MgPaZn (PBE)

Data for a relaxed structure of MgPaZn.

a b c (Å): 5.655 4.910 6.622
angles (deg): 75.76 64.72 54.83
Element x y z (fractional)
Zn 0.616 0.000 0.767
Zn 0.384 0.000 0.233
Mg 0.750 0.500 0.500
Mg 0.250 0.500 0.500
Pa 0.835 0.330 0.000
Pa 0.165 0.670 0.000

Results
The value obtained for the formation energy is 225 meV/atom. The calculation puts the total magnetic moment at 1.69 μB per cell.

## Pm3DyTm3 (PBE)

Data for a relaxed structure of Pm3DyTm3.

a b c (Å): 6.174 6.174 14.752
angles (deg): 77.92 77.92 60.00
Element x y z (fractional)
Dy 0.333 0.333 0.000
Dy 0.667 0.667 0.000
Pm 0.869 0.539 0.393
Pm 0.800 0.131 0.607
Pm 0.461 0.800 0.607
Pm 0.539 0.200 0.393
Pm 0.131 0.461 0.607
Pm 0.200 0.869 0.393
Tm 0.935 0.269 0.194
Tm 0.602 0.935 0.194
Tm 0.065 0.731 0.806
Tm 0.398 0.065 0.806
Tm 0.731 0.398 0.806
Tm 0.269 0.602 0.194

Results
The value obtained for the formation energy is 170 meV/atom. The calculation puts the total magnetic moment at 0.00 μB per cell.

## CoHg2Cl6 (PBE)

Data for a relaxed structure of CoHg2Cl6.

a b c (Å): 6.779 9.926 9.926
angles (deg): 88.26 69.66 69.66
Element x y z (fractional)
Cl 0.054 0.794 0.987
Cl 0.330 0.383 0.843
Cl 0.170 0.157 0.617
Cl 0.946 0.206 0.013
Cl 0.446 0.013 0.206
Cl 0.280 0.719 0.570
Cl 0.554 0.987 0.794
Cl 0.670 0.617 0.157
Cl 0.220 0.430 0.281
Cl 0.720 0.281 0.430
Cl 0.780 0.570 0.719
Cl 0.830 0.843 0.383
Co 0.750 0.812 0.188
Co 0.250 0.188 0.812
Hg 0.532 0.811 0.629
Hg 0.032 0.629 0.811
Hg 0.968 0.371 0.189
Hg 0.468 0.189 0.371

Results
For the raw formation energy, the calculation gives -53.8 kJ/mol of atoms. The calculation puts the total magnetic moment at 6.00 μB per cell.

## GaRuCl3 (PBE)

Data for a relaxed structure of GaRuCl3.

a b c (Å): 4.940 4.940 4.940
angles (deg): 90.00 90.00 90.00
Element x y z (fractional)
Ga 0.000 0.000 0.000
Cl 0.500 0.000 0.000
Cl 0.000 0.500 0.000
Cl 0.000 0.000 0.500
Ru 0.500 0.500 0.500

Results
For the raw formation energy, the calculation gives 30.8 kJ/mol of atoms. The calculation puts the total magnetic moment at 3.00 μB per cell.

## CuTeBr (PBE)

Data for a relaxed structure of CuTeBr.

a b c (Å): 3.609 3.609 7.136
angles (deg): 90.00 90.00 120.00
Element x y z (fractional)
Br 0.000 0.000 0.114
Cu 0.667 0.333 0.321
Te 0.333 0.667 0.564

Results
For the raw formation energy, the calculation gives -5.8 kJ/mol of atoms. The calculation puts the total magnetic moment at 0.00 μB per cell.

## KBaSb2 (PBE)

Data for a relaxed structure of KBaSb2.

a b c (Å): 10.988 10.988 10.988
angles (deg): 21.63 21.63 21.63
Element x y z (fractional)
Sb 0.501 0.501 0.501
Sb 0.999 0.999 0.999
K 0.750 0.750 0.750
Ba 0.250 0.250 0.250

Results
For the raw formation energy, the calculation gives -29.0 kJ/mol of atoms. The calculation puts the total magnetic moment at 0.00 μB per cell.

## Cr2ReOsBr (PBE)

Data for a relaxed structure of Cr2ReOsBr.

a b c (Å): 4.256 4.529 4.256
angles (deg): 90.00 90.00 90.00
Element x y z (fractional)
Re 0.500 0.500 0.500
Cr 0.500 0.000 0.000
Cr 0.000 0.000 0.500
Os 0.000 0.500 0.000
Br 0.000 0.000 0.000

Results
For the raw formation energy, the calculation gives 197.2 kJ/mol of atoms. The calculation puts the total magnetic moment at 0.80 μB per cell.

## BeW2Se2 (PBE)

Data for a relaxed structure of BeW2Se2.

a b c (Å): 5.582 5.582 5.582
angles (deg): 132.85 132.85 68.90
Element x y z (fractional)
Be 0.000 0.000 0.000
W 0.250 0.750 0.500
W 0.750 0.250 0.500
Se 0.637 0.637 0.000
Se 0.363 0.363 0.000

Results
For the raw formation energy, the calculation gives 86.3 kJ/mol of atoms. The calculation puts the total magnetic moment at 0.00 μB per cell.

## IrOsF (PBE)

Data for a relaxed structure of IrOsF.

a b c (Å): 2.710 3.802 4.438
angles (deg): 105.45 90.00 110.97
Element x y z (fractional)
Os 0.747 0.469 0.852
Ir 0.084 0.144 0.183
F 0.406 0.800 0.540

Results
For the raw formation energy, the calculation gives 8.3 kJ/mol of atoms. The calculation puts the total magnetic moment at 0.00 μB per cell.

## BaB6Rh12 (PBE)

Data for a relaxed structure of BaB6Rh12.

a b c (Å): 6.544 6.544 6.544
angles (deg): 104.01 104.01 104.01
Element x y z (fractional)
Rh 0.187 0.457 0.457
Rh 0.457 0.457 0.187
Rh 0.543 0.543 0.813
Rh 0.813 0.543 0.543
Rh 0.866 0.500 0.134
Rh 0.500 0.134 0.866
Rh 0.134 0.500 0.866
Rh 0.543 0.813 0.543
Rh 0.134 0.866 0.500
Rh 0.457 0.187 0.457
Rh 0.500 0.866 0.134
Rh 0.866 0.134 0.500
B 0.232 0.663 0.232
B 0.337 0.768 0.768
B 0.663 0.232 0.232
B 0.768 0.337 0.768
B 0.232 0.232 0.663
B 0.768 0.768 0.337
Ba 0.000 0.000 0.000

Results
The value obtained for the formation energy is -332 meV/atom. The calculation puts the total magnetic moment at 0.00 μB per cell.

## Li7CaRh5 (PBE)

Data for a relaxed structure of Li7CaRh5.

a b c (Å): 5.031 6.863 6.863
angles (deg): 83.35 68.49 68.49
Element x y z (fractional)
Li 0.345 0.655 0.655
Li 0.992 0.356 0.659
Li 0.992 0.659 0.356
Li 0.666 0.334 0.334
Li 0.500 0.788 0.211
Li 0.500 0.211 0.788
Li 0.275 0.225 0.225
Rh 0.493 0.006 0.501
Rh 0.493 0.501 0.006
Rh 0.728 0.772 0.772
Rh 0.000 0.501 0.006
Rh 0.000 0.006 0.501
Ca 0.016 0.984 0.984

Results
The value obtained for the formation energy is -191 meV/atom. The calculation puts the total magnetic moment at 0.00 μB per cell.